The following is a GGA-PBE calculation of a relaxed structure of TaCd2H4, from Alexandria via LeMat-Bulk.

Volume   79 Å³/cell
E_tot   -25.1 eV/cell
Crystal system   tetragonal
Total magnetization   0.00 μB per atom

Cell: 6.1253 6.1253 6.1253 Å, 144.00 144.00 51.83°
Last column: nearest neighbours and their distance in Å.
Positions (direct):
Ta 0.0000 0.0000 0.0000  6 H 1.89-1.95
Cd 0.3555 0.3555 0.0000  1 H 1.97
Cd 0.6445 0.6445 0.0000  1 H 1.97
H 0.0000 0.5000 0.5000  2 Ta 1.89
H 0.1765 0.1765 0.0000  1 Ta 1.95, 1 Cd 1.97
H 0.5000 0.0000 0.5000  2 Ta 1.89
H 0.8235 0.8235 0.0000  1 Ta 1.95, 1 Cd 1.97


The following is a GGA-PBE calculation of a relaxed structure of Pm3Nd2Ho2, from Alexandria via LeMat-Bulk.

Volume   235 Å³/cell
E_tot   -32.9 eV/cell
Crystal system   monoclinic
Calculated formation energy   13 meV per atom
Total magnetization   0.00 μB per atom
Energy above the lowest structure with this stoichiometry   0.000 eV per atom

Cell: 6.2606 6.2606 10.8738 Å, 95.54 95.54 33.67°
Last column: nearest neighbours and their distance in Å.
Positions (direct):
Pm 0.0000 0.0000 0.0000  6 Nd 3.60-3.64, 2 Pm 3.63, 4 Ho 3.64
Pm 0.1420 0.1420 0.5702  5 Pm 3.59-3.63, 5 Ho 3.60-3.63, 2 Nd 3.63
Pm 0.8580 0.8580 0.4298  5 Pm 3.59-3.63, 5 Ho 3.60-3.63, 2 Nd 3.63
Nd 0.2844 0.2844 0.1442  5 Pm 3.60-3.64, 3 Ho 3.61-3.62, 4 Nd 3.63-3.64
Nd 0.7156 0.7156 0.8558  5 Pm 3.60-3.64, 3 Ho 3.61-3.62, 4 Nd 3.63-3.64
Ho 0.4292 0.4292 0.7130  7 Pm 3.60-3.64, 3 Nd 3.61-3.62, 2 Ho 3.63
Ho 0.5708 0.5708 0.2870  7 Pm 3.60-3.64, 3 Nd 3.61-3.62, 2 Ho 3.63


The following is a GGA-PBE calculation of a relaxed structure of PmHo2S3, from Alexandria via LeMat-Bulk.

Volume   129 Å³/cell
E_tot   -38.2 eV/cell
Crystal system   orthorhombic
Total magnetization   0.00 μB per atom
E_form (uncorrected)   -1989 meV/atom

Cell: 6.8205 6.8205 6.8205 Å, 146.50 131.84 59.94°
Last column: nearest neighbours and their distance in Å.
Positions (direct):
Pm 0.0000 0.0000 0.0000  6 S 2.78-2.86
Ho 0.3380 0.3380 0.0000  6 S 2.74-2.79
Ho 0.6620 0.6620 0.0000  6 S 2.74-2.79
S 0.1752 0.6752 0.5000  4 Ho 2.75-2.79, 2 Pm 2.86
S 0.5000 0.0000 0.5000  4 Ho 2.74, 2 Pm 2.78
S 0.8248 0.3248 0.5000  4 Ho 2.75-2.79, 2 Pm 2.86


| no. | DOS at the Fermi energy (states/eV/f.u.) |
| --- | --- |
| 1 | 2.74 |
| 2 | 9.58 |
| 3 | 2.49 |